! FeCuSi2 PBE optimized geometry; values from VASP
! Uncorrected formation energy, eV per atom: 0.047
&SYSTEM
  ibrav = 0, nat = 4, ntyp = 3
/
ATOMIC_SPECIES
Si 28.09 Si.upf
Fe 55.84 Fe.upf
Cu 63.55 Cu.upf
ATOMIC_POSITIONS crystal
Si 0.250 0.250 0.250
Si 0.750 0.750 0.750
Fe 0.000 0.000 0.000
Cu 0.500 0.500 0.500
CELL_PARAMETERS angstrom
0.816 1.973 3.420
-2.519 2.852 1.332
-2.234 -0.660 3.291


! NdAl4Ga PBE optimized geometry; values from VASP
! Energy of formation from the pure elements, kcal/mol of atoms: -3.77
! Distance to the lowest polymorph of the same formula, kJ per mole of atoms: 0.00
&SYSTEM
  ibrav = 0, nat = 6, ntyp = 3
/
ATOMIC_SPECIES
Nd 144.24 Nd.upf
Al 26.98 Al.upf
Ga 69.72 Ga.upf
ATOMIC_POSITIONS crystal
Nd 0.250 0.250 0.250
Al 0.625 0.625 0.124
Al 0.625 0.124 0.625
Al 0.625 0.625 0.625
Al 0.124 0.625 0.625
Ga 0.000 0.000 0.000
CELL_PARAMETERS angstrom
5.572 0.000 0.000
2.786 4.825 0.000
2.786 1.608 4.549


! TcAg2HgO4 PBE optimized geometry; values from VASP
! Uncorrected formation energy, eV per atom: -0.648
&SYSTEM
  ibrav = 0, nat = 8, ntyp = 4
/
ATOMIC_SPECIES
Tc 98.00 Tc.upf
Ag 107.87 Ag.upf
Hg 200.59 Hg.upf
O 16.00 O.upf
ATOMIC_POSITIONS crystal
Tc 0.500 0.500 0.000
Ag 0.750 0.250 0.500
Ag 0.250 0.750 0.500
Hg 0.000 0.000 0.000
O 0.534 0.534 0.730
O 0.466 0.803 0.270
O 0.803 0.466 0.270
O 0.197 0.197 0.730
CELL_PARAMETERS angstrom
-1.318 5.878 0.023
-5.875 -1.318 0.196
3.727 -2.266 3.876


! MgCoP2 PBE optimized geometry; values from VASP
! Energy of formation from the pure elements, kcal/mol of atoms: 7.49
&SYSTEM
  ibrav = 0, nat = 4, ntyp = 3
/
ATOMIC_SPECIES
Co 58.93 Co.upf
Mg 24.30 Mg.upf
P 30.97 P.upf
ATOMIC_POSITIONS crystal
Co 0.500 0.500 0.500
Mg 0.750 0.750 0.750
P 0.000 0.000 0.000
P 0.250 0.250 0.250
CELL_PARAMETERS angstrom
-0.887 3.859 -1.616
-3.541 2.065 1.218
0.296 3.474 2.476


! MgZnAs2 PBE optimized geometry; values from VASP
! Energy of formation from the pure elements, kcal/mol of atoms: 1.13
! Distance to the lowest polymorph of the same formula, kJ per mole of atoms: 14.39
&SYSTEM
  ibrav = 0, nat = 4, ntyp = 3
/
ATOMIC_SPECIES
Mg 24.30 Mg.upf
As 74.92 As.upf
Zn 65.41 Zn.upf
ATOMIC_POSITIONS crystal
Mg 0.000 0.000 0.000
As 0.250 0.250 0.250
As 0.750 0.750 0.750
Zn 0.500 0.500 0.500
CELL_PARAMETERS angstrom
4.588 -0.811 -0.846
1.748 -4.380 0.424
1.306 -2.413 -3.860


! CaPt2Br PBE optimized geometry; values from VASP
! Distance to the lowest polymorph of the same formula, kJ per mole of atoms: 0.00
! Uncorrected formation energy, eV per atom: -0.724
&SYSTEM
  ibrav = 0, nat = 4, ntyp = 3
/
ATOMIC_SPECIES
Ca 40.08 Ca.upf
Br 79.90 Br.upf
Pt 195.08 Pt.upf
ATOMIC_POSITIONS crystal
Ca 0.500 0.938 0.762
Br 0.000 0.546 0.570
Pt 0.000 0.770 0.062
Pt 0.500 0.246 0.106
CELL_PARAMETERS angstrom
-1.178 1.779 3.013
-0.161 -3.168 1.808
6.952 -0.866 3.230


Computed values of M_tot (unit: μB per atom) for the preceding records, in sequence: 0.00 0.00 0.00 0.24 0.00 0.00.